Entry 1:
VASP calculation (PBE-GGA) on a relaxed Er2Be3Cu12Ag crystal.

Structure (POSCAR):
```
Er2Be3Cu12Ag
1.0
3.706 2.140 6.074
-3.706 2.140 6.074
0.000 -4.279 6.074
Er Be Cu Ag
2 3 12 1
Cartesian
0.000 0.000 1.798
0.000 0.000 16.424
-1.853 -1.070 6.074
-1.853 1.070 12.148
0.000 2.140 6.074
-2.112 -1.219 8.244
0.000 -1.919 5.653
-1.662 0.959 5.653
0.000 -2.438 9.978
-2.112 1.219 9.978
-1.662 -0.959 12.569
1.662 0.959 5.653
2.112 -1.219 8.244
0.000 2.438 8.244
1.662 -0.959 12.569
0.000 1.919 12.569
2.112 1.219 9.978
0.000 0.000 9.111
```

Calculated values
The calculation puts the formation energy at 0.352 eV/atom.



Entry 2:
VASP calculation (PBE-GGA) on a relaxed SrLi2TcIr crystal.

Structure (POSCAR):
```
SrLi2TcIr
1.0
4.840 0.000 0.000
0.000 4.840 0.000
0.000 0.000 4.766
Sr Li Tc Ir
1 2 1 1
Cartesian
0.000 0.000 0.000
0.000 2.420 2.383
2.420 0.000 2.383
2.420 2.420 0.000
2.420 2.420 2.383
```

Calculated values
The calculation puts the formation energy at 0.329 eV/atom.



Entry 3:
VASP calculation (PBE-GGA) on a relaxed Ce8Ge2Sb crystal.

Structure (POSCAR):
```
Ce8Ge2Sb
1.0
4.183 -6.705 0.000
4.183 6.705 0.000
-1.637 0.000 5.356
Ce Ge Sb
8 2 1
Cartesian
0.547 1.399 3.101
4.183 3.464 0.000
0.547 -1.399 3.101
3.145 0.000 0.903
3.584 0.000 4.454
6.182 1.399 2.255
4.183 -3.464 0.000
6.182 -1.399 2.255
3.365 2.534 2.678
3.365 -2.534 2.678
0.000 0.000 0.000
```

Calculated values
As for the uncorrected formation energy: -0.405 eV per atom.



Entry 4:
VASP calculation (PBE-GGA) on a relaxed MgAl6Pd3 crystal.

Structure (POSCAR):
```
MgAl6Pd3
1.0
7.938 0.000 0.000
0.000 4.113 0.000
-1.603 0.000 10.320
Mg Al Pd
2 12 6
Cartesian
-0.295 1.028 2.821
6.629 3.085 7.499
-0.966 1.028 9.631
0.911 3.085 4.543
1.796 3.085 1.956
1.418 3.085 7.405
3.222 1.028 0.669
2.620 1.028 5.991
3.714 3.085 4.329
3.112 3.085 9.651
4.917 1.028 2.915
4.538 1.028 8.364
5.423 1.028 5.777
7.301 3.085 0.689
0.112 1.028 5.813
0.475 3.085 9.774
2.375 1.028 3.385
3.959 3.085 6.935
5.859 1.028 0.546
6.222 3.085 4.507
```

Calculated values
The calculation puts the formation energy at -0.534 eV/atom.



Entry 5:
VASP calculation (PBE-GGA) on a relaxed InCu2H2 crystal.

Structure (POSCAR):
```
InCu2H2
1.0
-1.552 1.552 5.945
1.552 -1.552 5.945
1.552 1.552 -5.945
In Cu H
1 2 2
Cartesian
0.000 0.000 0.000
0.000 0.000 3.844
0.000 0.000 8.045
1.552 0.000 2.972
0.000 1.552 2.972
```

Calculated values
As for the total energy: -16.401 eV for the cell shown.



Entry 6:
VASP calculation (PBE-GGA) on a relaxed Sm12Dy6Ho crystal.

Structure (POSCAR):
```
Sm12Dy6Ho
1.0
7.373 4.257 3.472
-7.373 4.257 3.472
0.000 -8.514 3.472
Sm Dy Ho
12 6 1
Cartesian
-5.105 1.712 4.300
-4.035 -3.565 6.115
-2.874 -0.830 4.363
1.070 -5.277 4.300
-0.718 -2.904 6.052
2.156 -2.074 4.363
-2.156 2.074 6.052
0.718 2.904 4.363
-1.070 5.277 6.115
2.874 0.830 6.052
4.035 3.565 4.300
5.105 -1.712 6.115
-0.826 -2.720 2.505
-1.942 2.075 2.505
2.768 0.645 2.505
-2.768 -0.645 7.910
1.942 -2.075 7.910
0.826 2.720 7.910
0.000 0.000 0.000
```

Calculated values
The calculation puts the formation energy at 0.241 eV/atom.



Entry 7:
VASP calculation (PBE-GGA) on a relaxed Na2Cu2Se2S crystal.

Structure (POSCAR):
```
Na2Cu2Se2S
1.0
4.017 0.000 0.000
-2.004 6.330 0.000
-2.003 -0.740 6.293
Na Cu Se S
2 2 2 1
Cartesian
0.000 1.336 1.495
0.009 4.254 4.798
-0.016 4.725 1.440
0.025 0.866 4.853
-1.986 1.779 4.050
1.995 3.812 2.244
2.008 0.000 0.000
```

Calculated values
As for the uncorrected formation energy: -0.506 eV per atom.



Entry 8:
VASP calculation (PBE-GGA) on a relaxed Cs4LiAu3 crystal.

Structure (POSCAR):
```
Cs4LiAu3
1.0
5.036 0.000 0.000
0.000 5.256 0.000
0.000 0.000 13.441
Cs Li Au
4 1 3
Cartesian
0.000 0.000 0.000
0.000 2.628 6.222
2.518 0.000 9.228
2.518 2.628 2.712
0.000 2.628 10.936
0.000 0.000 3.673
2.518 0.000 5.274
2.518 2.628 11.921
```

Calculated values
The calculation puts the formation energy at -0.231 eV/atom.



Entry 9:
VASP calculation (PBE-GGA) on a relaxed K2LiRuCl6 crystal.

Structure (POSCAR):
```
K2LiRuCl6
1.0
3.496 2.018 11.788
-3.496 2.018 11.788
0.000 -4.037 11.788
K Li Ru Cl
4 2 2 12
Cartesian
0.000 0.000 4.443
0.000 0.000 10.528
0.000 0.000 24.836
0.000 0.000 30.920
0.000 0.000 14.721
0.000 0.000 20.643
0.000 0.000 0.000
0.000 0.000 17.682
-1.676 -0.968 16.290
0.000 -2.098 13.175
-1.817 1.049 13.175
-1.817 -1.049 22.189
0.000 -1.935 19.074
-1.676 0.968 19.074
1.676 -0.968 16.290
0.000 1.935 16.290
1.817 1.049 13.175
1.817 -1.049 22.189
0.000 2.098 22.189
1.676 0.968 19.074
```

Calculated values
As for the uncorrected formation energy: -1.343 eV per atom.



Entry 10:
VASP calculation (PBE-GGA) on a relaxed IrOsW2 crystal.

Structure (POSCAR):
```
IrOsW2
1.0
3.952 0.000 0.000
0.000 3.904 0.000
0.000 0.000 7.891
Ir Os W
2 2 4
Cartesian
0.988 0.000 0.979
2.964 0.000 6.912
0.988 0.000 4.939
2.964 0.000 2.952
0.988 1.952 2.967
0.988 1.952 6.889
2.964 1.952 1.002
2.964 1.952 4.924
```

Calculated values
The calculation puts the formation energy at -0.116 eV/atom.



Entry 11:
VASP calculation (PBE-GGA) on a relaxed Ca3Zn3Ir crystal.

Structure (POSCAR):
```
Ca3Zn3Ir
1.0
5.434 -2.085 0.000
5.434 2.085 0.000
-4.312 0.000 14.768
Ca Zn Ir
6 6 2
Cartesian
-1.434 0.000 5.730
-2.758 0.000 13.618
1.683 0.000 3.627
4.873 0.000 11.141
9.314 0.000 1.150
7.991 0.000 9.038
1.535 0.000 6.849
0.382 0.000 13.632
1.655 0.000 11.341
4.902 0.000 3.427
6.175 0.000 1.136
5.021 0.000 7.919
0.342 0.000 9.201
6.214 0.000 5.567
```

Calculated values
The calculation puts the formation energy at -0.328 eV/atom.



Entry 12:
VASP calculation (PBE-GGA) on a relaxed Ca2Ac2Hg3 crystal.

Structure (POSCAR):
```
Ca2Ac2Hg3
1.0
2.736 1.579 9.127
-2.736 1.579 9.127
0.000 -3.159 9.127
Ca Ac Hg
2 2 3
Cartesian
0.000 0.000 3.553
0.000 0.000 23.828
0.000 0.000 10.350
0.000 0.000 17.031
0.000 0.000 6.849
0.000 0.000 13.691
0.000 0.000 20.533
```

Calculated values
The calculation puts the formation energy at -0.392 eV/atom.



Entry 13:
VASP calculation (PBE-GGA) on a relaxed CaLaCl3 crystal.

Structure (POSCAR):
```
CaLaCl3
1.0
5.644 0.000 0.000
0.000 5.644 0.000
0.000 0.000 5.644
Ca La Cl
1 1 3
Cartesian
0.000 0.000 0.000
2.822 2.822 2.822
0.000 2.822 2.822
2.822 0.000 2.822
2.822 2.822 0.000
```

Calculated values
As for the uncorrected formation energy: -1.512 eV per atom.



Entry 14:
VASP calculation (PBE-GGA) on a relaxed Sm2HoHg8 crystal.

Structure (POSCAR):
```
Sm2HoHg8
1.0
8.016 -2.509 0.000
8.016 2.509 0.000
-2.456 0.000 6.826
Sm Ho Hg
2 1 8
Cartesian
3.011 0.000 1.067
10.565 0.000 5.758
6.788 0.000 3.413
-0.207 0.000 1.566
0.777 0.000 4.572
3.843 0.000 4.131
6.362 0.000 0.352
7.214 0.000 6.474
9.733 0.000 2.694
12.799 0.000 2.254
13.783 0.000 5.260
```

Calculated values
The calculation puts the formation energy at -0.331 eV/atom.



Entry 15:
VASP calculation (PBE-GGA) on a relaxed LaZr2Zn crystal.

Structure (POSCAR):
```
LaZr2Zn
1.0
0.000 3.622 3.622
3.622 0.000 3.622
3.622 3.622 0.000
La Zr Zn
1 2 1
Cartesian
0.000 0.000 0.000
3.622 3.622 3.622
5.432 5.432 5.432
1.811 1.811 1.811
```

Calculated values
The calculation puts the formation energy at 0.091 eV/atom.



Entry 16:
VASP calculation (PBE-GGA) on a relaxed Li2Ce3Ga7 crystal.

Structure (POSCAR):
```
Li2Ce3Ga7
1.0
2.150 -13.199 0.000
2.150 13.199 0.000
0.000 0.000 4.290
Li Ce Ga
2 3 7
Cartesian
2.150 9.653 0.000
2.150 -9.653 0.000
2.150 4.705 2.145
2.150 0.000 2.145
2.150 -4.705 2.145
0.000 0.000 0.000
2.150 10.982 2.145
2.150 7.237 0.000
2.150 2.221 0.000
2.150 -2.221 0.000
2.150 -7.237 0.000
2.150 -10.982 2.145
```

Calculated values
The calculation puts the formation energy at -0.401 eV/atom.



Entry 17:
VASP calculation (PBE-GGA) on a relaxed Pr2PbO crystal.

Structure (POSCAR):
```
Pr2PbO
1.0
7.202 0.000 0.000
0.000 4.832 0.000
0.000 0.000 11.558
Pr Pb O
8 4 4
Cartesian
0.741 1.208 2.572
1.056 1.208 6.355
2.545 3.624 0.576
2.860 3.624 8.351
4.342 1.208 3.207
4.657 1.208 10.982
6.146 3.624 5.203
6.461 3.624 8.986
1.097 1.208 10.069
2.504 3.624 4.290
4.699 1.208 7.268
6.105 3.624 1.489
0.625 3.624 7.015
2.976 1.208 1.236
4.227 3.624 10.321
6.577 1.208 4.543
```

Calculated values
As for the uncorrected formation energy: -1.637 eV per atom.



Entry 18:
VASP calculation (PBE-GGA) on a relaxed Mn5As crystal.

Structure (POSCAR):
```
Mn5As
1.0
4.500 0.000 0.000
-2.250 3.897 0.000
0.000 0.000 4.321
Mn As
5 1
Cartesian
-1.125 1.948 0.000
0.000 2.598 2.161
2.250 0.000 0.000
1.125 1.948 0.000
2.250 1.299 2.161
0.000 0.000 2.161
```

Calculated values
The calculation puts the formation energy at 0.452 eV/atom.



Entry 19:
VASP calculation (PBE-GGA) on a relaxed CeTm2Zn crystal.

Structure (POSCAR):
```
CeTm2Zn
1.0
3.470 0.000 0.000
0.000 3.470 0.000
0.000 0.000 8.651
Ce Tm Zn
1 2 1
Cartesian
0.000 0.000 0.000
1.735 1.735 2.529
1.735 1.735 6.122
0.000 0.000 4.325
```

Calculated values
The calculation puts the formation energy at -0.126 eV/atom.



Entry 20:
VASP calculation (PBE-GGA) on a relaxed ScGePS2 crystal.

Structure (POSCAR):
```
ScGePS2
1.0
4.684 0.000 0.000
0.000 4.684 0.000
0.000 0.000 4.650
Sc Ge P S
1 1 1 2
Cartesian
0.000 0.000 0.000
2.342 2.342 2.325
2.342 2.342 0.000
0.000 2.342 2.325
2.342 0.000 2.325
```

Calculated values
As for the uncorrected formation energy: -0.006 eV per atom.



The following magnetic moment values (in μB/cell) correspond, in order, to the records above: 0.00 1.69 5.54 0.00 0.00 0.00 0.00 0.00 2.02 0.00 0.00 0.00 0.40 0.00 0.86 1.72 0.00 3.72 1.29 0.00.